Ac4NiRuSe2, optimized geometry, DFT PBE; symmetry = No. 10; density of states at the Fermi level = 4.57 states/eV per cell; formation energy without anion corrections = -7.6 eV per formula unit; magnetic moment = 0.0 μB per cell
1.0
4.3250 0.0000 0.0000
0.0000 7.4212 0.1165
0.0000 -2.6108 7.6255
Se Ac Ru Ni
2 4 1 1
direct
0.0000 0.5000 0.5000
0.5000 0.0000 0.5000
0.0000 0.7364 0.2251
0.5000 0.2470 0.2239
0.5000 0.7530 0.7761
0.0000 0.2636 0.7749
0.5000 0.5000 0.0000
0.0000 0.0000 0.0000